Record 1
VASP calculation (meta-GGA SCAN) on a crystal of HfReSeN2 relaxed with PBEsol.

Cell and atoms, written as POSCAR:
```
HfReSeN2
1.0
-1.700 3.304 1.513
-0.432 -1.842 3.538
4.885 1.809 1.538
N Se Re Hf
2 1 1 1
Direct
0.500 0.000 0.000 N
0.000 0.500 0.000 N
0.000 0.000 0.500 Se
0.500 0.500 0.500 Re
0.000 0.000 0.000 Hf
```

Computed properties:
Total moment: 0.768 μB/atom
Uncorrected formation energy: 4.866 eV per formula unit
Space-group type: P4/mmm
D(E_F): 2.57 states/eV/f.u.

Record 2
VASP calculation (meta-GGA SCAN) on a crystal of Zr2MnRu relaxed with PBEsol.

Cell and atoms, written as POSCAR:
```
Zr2MnRu
1.0
-0.609 1.962 -2.434
-4.378 -1.051 0.248
-0.650 3.393 2.898
Zr Mn Ru
2 1 1
Direct
0.000 0.000 0.500 Zr
0.000 0.500 0.000 Zr
0.500 0.500 0.500 Mn
0.500 0.000 0.000 Ru
```

Computed properties:
Energy of formation from the pure elements: -0.429 eV per atom
Total moment: 0.062 μB/atom
Space-group type: P4/mmm
D(E_F): 2.61 states/eV/f.u.

Record 3
VASP calculation (meta-GGA SCAN) on a crystal of HoNi4B relaxed with PBEsol.

Cell and atoms, written as POSCAR:
```
HoNi4B
1.0
4.882 0.000 0.000
-2.441 4.228 0.000
0.000 0.000 6.871
B Ni Ho
2 8 2
Direct
0.667 0.333 0.000 B
0.333 0.667 0.000 B
0.500 0.500 0.790 Ni
0.667 0.333 0.500 Ni
0.000 0.500 0.790 Ni
0.000 0.500 0.210 Ni
0.500 0.000 0.210 Ni
0.333 0.667 0.500 Ni
0.500 0.000 0.790 Ni
0.500 0.500 0.210 Ni
0.000 0.000 0.000 Ho
0.000 0.000 0.500 Ho
```

Computed properties:
Energy of formation from the pure elements: -0.507 eV per atom
Total moment: 0.000 μB/atom
Space-group type: P6/mmm
D(E_F): 1.81 states/eV/f.u.

Record 4
VASP calculation (meta-GGA SCAN) on a crystal of CrHg3Ru relaxed with PBEsol.

Cell and atoms, written as POSCAR:
```
CrHg3Ru
1.0
5.077 0.000 0.000
0.000 5.077 0.000
0.000 0.000 5.077
Cr Hg Ru
1 3 1
Direct
0.500 0.500 0.500 Cr
0.500 0.000 0.000 Hg
0.000 0.500 0.000 Hg
0.000 0.000 0.500 Hg
0.000 0.000 0.000 Ru
```

Computed properties:
Energy of formation from the pure elements: 0.847 eV per atom
Total moment: 1.133 μB/atom
Space-group type: Pm-3m
D(E_F): 3.58 states/eV/f.u.

Record 5
VASP calculation (meta-GGA SCAN) on a crystal of AlMo2Se relaxed with PBEsol.

Cell and atoms, written as POSCAR:
```
AlMo2Se
1.0
-1.734 -3.562 -0.378
3.574 -1.750 0.094
-1.165 2.365 4.013
Mo Se Al
2 1 1
Direct
0.750 0.250 0.500 Mo
0.000 0.000 0.000 Mo
0.500 0.500 0.000 Se
0.250 0.750 0.500 Al
```

Computed properties:
Relative energy among the computed polymorphs: 71 meV per atom
Total moment: 0.000 μB/atom
Uncorrected formation energy: 1.201 eV per formula unit
Space-group type: I-4m2
D(E_F): 3.97 states/eV/f.u.

Record 6
VASP calculation (meta-GGA SCAN) on a crystal of As2HRuBr relaxed with PBEsol.

Cell and atoms, written as POSCAR:
```
As2HRuBr
1.0
4.619 0.000 0.000
0.000 4.619 0.000
0.000 0.000 5.410
Br Ru As H
1 1 2 1
Direct
0.000 0.000 0.500 Br
0.000 0.000 0.000 Ru
0.000 0.500 0.000 As
0.500 0.000 0.000 As
0.500 0.500 0.500 H
```

Computed properties:
Total moment: 0.088 μB/atom
Space-group type: P4/mmm
D(E_F): 2.57 states/eV/f.u.

Record 7
VASP calculation (meta-GGA SCAN) on a crystal of LiTaBr2 relaxed with PBEsol.

Cell and atoms, written as POSCAR:
```
LiTaBr2
1.0
3.182 0.076 0.090
-0.122 5.190 -0.008
-0.122 -0.902 5.111
Li Ta Br
1 1 2
Direct
0.000 0.500 0.500 Li
0.000 0.000 0.000 Ta
0.000 0.000 0.500 Br
0.000 0.500 0.000 Br
```

Computed properties:
Total moment: 0.000 μB/atom
Uncorrected formation energy: 0.054 eV per formula unit
Space-group type: Cmmm
D(E_F): 2.26 states/eV/f.u.

Record 8
VASP calculation (meta-GGA SCAN) on a crystal of BaTcPO2 relaxed with PBEsol.

Cell and atoms, written as POSCAR:
```
BaTcPO2
1.0
-1.322 4.012 0.080
-2.845 -0.997 2.961
4.278 1.319 4.553
Tc O Ba P
1 2 1 1
Direct
0.500 0.500 0.500 Tc
0.000 0.500 0.000 O
0.500 0.000 0.000 O
0.000 0.000 0.000 Ba
0.000 0.000 0.500 P
```

Computed properties:
Total moment: 0.817 μB/atom
Uncorrected formation energy: 3.021 eV per formula unit
Space-group type: P4/mmm
D(E_F): 1.62 states/eV/f.u.

Record 9
VASP calculation (meta-GGA SCAN) on a crystal of SiAs2P relaxed with PBEsol.

Cell and atoms, written as POSCAR:
```
SiAs2P
1.0
-3.287 0.013 3.858
0.587 -5.008 0.518
6.345 3.523 2.064
As P Si
4 2 2
Direct
0.625 0.629 0.750 As
0.879 0.375 0.250 As
0.125 0.121 0.750 As
0.371 0.875 0.250 As
0.250 0.750 0.500 P
0.000 0.000 0.000 P
0.500 0.500 0.000 Si
0.750 0.250 0.500 Si
```

Computed properties:
Relative energy among the computed polymorphs: 238 meV per atom
Total moment: 0.000 μB/atom
Uncorrected formation energy: 1.605 eV per formula unit
Space-group type: I-42d
D(E_F): 1.19 states/eV/f.u.

Record 10
VASP calculation (meta-GGA SCAN) on a crystal of MgMn3Re relaxed with PBEsol.

Cell and atoms, written as POSCAR:
```
MgMn3Re
1.0
4.183 0.000 0.000
0.000 4.183 0.000
0.000 0.000 4.183
Mn Re Mg
3 1 1
Direct
0.500 0.000 0.000 Mn
0.000 0.000 0.500 Mn
0.000 0.500 0.000 Mn
0.500 0.500 0.500 Re
0.000 0.000 0.000 Mg
```

Computed properties:
Energy of formation from the pure elements: 1.823 eV per atom
Total moment: 1.866 μB/atom
Space-group type: Pm-3m
D(E_F): 5.62 states/eV/f.u.

Record 11
VASP calculation (meta-GGA SCAN) on a crystal of TiOsO2 relaxed with PBEsol.

Cell and atoms, written as POSCAR:
```
TiOsO2
1.0
-2.905 1.409 -1.062
-2.608 -1.974 -0.924
-3.552 -0.144 4.085
Os O Ti
1 2 1
Direct
0.500 0.500 0.500 Os
0.874 0.874 0.377 O
0.126 0.126 0.623 O
0.000 0.000 0.000 Ti
```

Computed properties:
Total moment: 0.240 μB/atom
Uncorrected formation energy: -3.562 eV per formula unit
Space-group type: R-3m
D(E_F): 2.35 states/eV/f.u.

Record 12
VASP calculation (meta-GGA SCAN) on a crystal of TcPdCl3 relaxed with PBEsol.

Cell and atoms, written as POSCAR:
```
TcPdCl3
1.0
-1.765 -0.209 4.424
0.985 -4.662 0.173
4.318 0.978 1.769
Pd Cl Tc
1 3 1
Direct
0.000 0.000 0.000 Pd
0.500 0.000 0.000 Cl
0.000 0.000 0.500 Cl
0.000 0.500 0.000 Cl
0.500 0.500 0.500 Tc
```

Computed properties:
Total moment: 1.004 μB/atom
Uncorrected formation energy: 1.233 eV per formula unit
Space-group type: Pm-3m
D(E_F): 3.23 states/eV/f.u.

Record 13
VASP calculation (meta-GGA SCAN) on a crystal of BaLi3Ir relaxed with PBEsol.

Cell and atoms, written as POSCAR:
```
BaLi3Ir
1.0
4.839 0.000 0.000
0.000 4.839 0.000
0.000 0.000 4.839
Li Ba Ir
3 1 1
Direct
0.000 0.500 0.000 Li
0.500 0.000 0.000 Li
0.000 0.000 0.500 Li
0.500 0.500 0.500 Ba
0.000 0.000 0.000 Ir
```

Computed properties:
Energy of formation from the pure elements: 0.089 eV per atom
Total moment: 0.000 μB/atom
Space-group type: Pm-3m
D(E_F): 2.99 states/eV/f.u.

Record 14
VASP calculation (meta-GGA SCAN) on a crystal of ZnBSe2Br relaxed with PBEsol.

Cell and atoms, written as POSCAR:
```
ZnBSe2Br
1.0
-3.281 3.384 -0.773
-3.068 -2.330 2.822
1.751 2.628 4.073
Br Se B Zn
1 2 1 1
Direct
0.000 0.000 0.500 Br
0.000 0.500 0.000 Se
0.500 0.000 0.000 Se
0.500 0.500 0.500 B
0.000 0.000 0.000 Zn
```

Computed properties:
Total moment: 0.000 μB/atom
Uncorrected formation energy: 5.330 eV per formula unit
Space-group type: P4/mmm
D(E_F): 3.77 states/eV/f.u.

Record 15
VASP calculation (meta-GGA SCAN) on a crystal of KAlHg2 relaxed with PBEsol.

Cell and atoms, written as POSCAR:
```
KAlHg2
1.0
-2.700 3.188 3.021
-5.126 -0.459 0.302
-2.179 -1.773 4.323
Hg K Al
2 1 1
Direct
0.750 0.750 0.750 Hg
0.000 0.000 0.000 Hg
0.250 0.250 0.250 K
0.500 0.500 0.500 Al
```

Computed properties:
Relative energy among the computed polymorphs: 286 meV per atom
Energy of formation from the pure elements: 0.120 eV per atom
Total moment: 0.000 μB/atom
Space-group type: F-43m
D(E_F): 1.66 states/eV/f.u.

Record 16
VASP calculation (meta-GGA SCAN) on a crystal of NaB3O5 relaxed with PBEsol.

Cell and atoms, written as POSCAR:
```
NaB3O5
1.0
8.978 0.000 0.028
0.000 11.101 0.000
-0.131 0.000 12.136
O Na B
60 12 36
Direct
0.616 0.690 0.402 O
0.276 0.163 0.921 O
0.192 0.039 0.070 O
0.180 0.786 0.318 O
0.278 0.520 0.755 O
0.872 0.749 0.442 O
0.483 0.826 0.522 O
0.196 0.297 0.244 O
0.517 0.174 0.478 O
0.820 0.214 0.682 O
0.278 0.980 0.255 O
0.804 0.797 0.256 O
0.104 0.051 0.622 O
0.517 0.326 0.978 O
0.128 0.251 0.558 O
0.561 0.179 0.673 O
0.325 0.575 0.143 O
0.820 0.286 0.182 O
0.808 0.539 0.430 O
0.675 0.425 0.857 O
0.196 0.203 0.744 O
0.272 0.569 0.947 O
0.853 0.153 0.869 O
0.325 0.925 0.643 O
0.384 0.190 0.098 O
0.808 0.961 0.930 O
0.728 0.069 0.553 O
0.483 0.674 0.022 O
0.192 0.461 0.570 O
0.384 0.310 0.598 O
0.728 0.431 0.053 O
0.200 0.997 0.804 O
0.272 0.931 0.447 O
0.200 0.503 0.304 O
0.724 0.663 0.579 O
0.920 0.351 0.815 O
0.561 0.321 0.173 O
0.128 0.249 0.058 O
0.080 0.649 0.185 O
0.800 0.497 0.696 O
0.147 0.847 0.131 O
0.724 0.837 0.079 O
0.800 0.003 0.196 O
0.147 0.653 0.631 O
0.675 0.075 0.357 O
0.180 0.714 0.818 O
0.276 0.337 0.421 O
0.722 0.480 0.245 O
0.439 0.821 0.327 O
0.722 0.020 0.745 O
0.920 0.149 0.315 O
0.080 0.851 0.685 O
0.896 0.949 0.378 O
0.616 0.810 0.902 O
0.439 0.679 0.827 O
0.896 0.551 0.878 O
0.872 0.751 0.942 O
0.804 0.703 0.756 O
0.853 0.347 0.369 O
0.104 0.449 0.122 O
0.097 0.631 0.437 Na
0.111 0.091 0.423 Na
0.561 0.836 0.714 Na
0.097 0.869 0.937 Na
0.889 0.909 0.577 Na
0.903 0.131 0.063 Na
0.439 0.336 0.786 Na
0.561 0.664 0.214 Na
0.903 0.369 0.563 Na
0.439 0.164 0.286 Na
0.111 0.409 0.923 Na
0.889 0.591 0.077 Na
0.859 0.831 0.358 B
0.294 0.620 0.836 B
0.777 0.617 0.674 B
0.823 0.457 0.811 B
0.177 0.957 0.689 B
0.863 0.241 0.787 B
0.137 0.759 0.213 B
0.790 0.040 0.845 B
0.750 0.842 0.962 B
0.514 0.779 0.418 B
0.210 0.540 0.655 B
0.355 0.603 0.036 B
0.645 0.103 0.464 B
0.514 0.721 0.918 B
0.141 0.331 0.142 B
0.706 0.120 0.664 B
0.486 0.279 0.082 B
0.750 0.658 0.462 B
0.223 0.117 0.826 B
0.294 0.880 0.336 B
0.141 0.169 0.642 B
0.210 0.960 0.155 B
0.706 0.380 0.164 B
0.177 0.543 0.189 B
0.645 0.397 0.964 B
0.486 0.221 0.582 B
0.790 0.460 0.345 B
0.223 0.383 0.326 B
0.823 0.043 0.311 B
0.863 0.259 0.287 B
0.250 0.342 0.538 B
0.137 0.741 0.713 B
0.250 0.158 0.038 B
0.859 0.669 0.858 B
0.777 0.883 0.174 B
0.355 0.897 0.536 B
```

Computed properties:
Total moment: 0.000 μB/atom
Uncorrected formation energy: -23.299 eV per formula unit
Space-group type: P2_1/c
D(E_F): 0.00 states/eV/f.u.

Record 17
VASP calculation (meta-GGA SCAN) on a crystal of ZrInTe2 relaxed with PBEsol.

Cell and atoms, written as POSCAR:
```
ZrInTe2
1.0
3.937 0.000 0.000
0.000 5.229 0.000
-1.969 0.000 5.075
Te Zr In
2 1 1
Direct
0.432 0.500 0.865 Te
0.034 0.000 0.068 Te
0.314 0.000 0.629 Zr
0.718 0.500 0.436 In
```

Computed properties:
Total moment: 0.000 μB/atom
Uncorrected formation energy: -1.655 eV per formula unit
Space-group type: Amm2
D(E_F): 1.31 states/eV/f.u.

Record 18
VASP calculation (meta-GGA SCAN) on a crystal of Na2P2Pt relaxed with PBEsol.

Cell and atoms, written as POSCAR:
```
Na2P2Pt
1.0
4.770 0.000 0.000
0.000 6.042 0.000
0.000 0.000 6.042
Na Pt P
4 2 4
Direct
0.500 0.321 0.179 Na
0.500 0.179 0.679 Na
0.500 0.679 0.821 Na
0.500 0.821 0.321 Na
0.000 0.000 0.000 Pt
0.000 0.500 0.500 Pt
0.000 0.869 0.631 P
0.000 0.131 0.369 P
0.000 0.631 0.131 P
0.000 0.369 0.869 P
```

Computed properties:
Energy of formation from the pure elements: -0.696 eV per atom
Total moment: 0.000 μB/atom
Space-group type: P4/mbm
D(E_F): 0.97 states/eV/f.u.

Record 19
VASP calculation (meta-GGA SCAN) on a crystal of Be4AlCo relaxed with PBEsol.

Cell and atoms, written as POSCAR:
```
Be4AlCo
1.0
-1.387 -3.265 2.231
-2.271 -2.993 -1.856
1.647 -3.805 -0.609
Be Co Al
4 1 1
Direct
0.376 0.872 0.376 Be
0.376 0.376 0.376 Be
0.872 0.376 0.376 Be
0.376 0.376 0.872 Be
0.750 0.750 0.750 Co
0.000 0.000 0.000 Al
```

Computed properties:
Energy of formation from the pure elements: -0.325 eV per atom
Total moment: 0.000 μB/atom
Space-group type: F-43m

Record 20
VASP calculation (meta-GGA SCAN) on a crystal of MnBe2W relaxed with PBEsol.

Cell and atoms, written as POSCAR:
```
MnBe2W
1.0
2.872 0.000 0.000
0.000 3.301 0.000
-1.436 0.000 4.349
W Mn Be
1 1 2
Direct
0.415 0.500 0.830 W
0.092 0.000 0.184 Mn
0.682 0.500 0.364 Be
0.811 0.000 0.621 Be
```

Computed properties:
Relative energy among the computed polymorphs: 0 meV per atom
Energy of formation from the pure elements: -0.025 eV per atom
Total moment: 0.260 μB/atom
Space-group type: Amm2
D(E_F): 1.16 states/eV/f.u.

For each record above, in turn, the calculated theoretical density values are 8.96, 8.68, 9.61, 9.58, 8.02, 4.77, 6.83, 4.35, 4.07, 8.51, 8.88, 4.76, 5.13, 4.44, 8.01, 2.23, 7.33, 5.78, 3.89, 10.34 g/cm³.
For each record above, in turn, the calculated energy values are -2.4632, -2.1350, -1.5209, -3.7260, -1.7713, -1.3871, -1.9815, -1.3884, -1.0876, -1.7892, -1.9098, -1.3308, -1.7254, -1.1059, -2.7917, -0.6612, -2.5769, -1.5126, -0.5442, -1.7777 Ry/atom.